{
  "formula": "Th4FeCoS2",
  "functional": "PBE",
  "state": "optimized geometry",
  "lattice": [[6.938, 0.000, 0.000], [0.000, 3.921, 0.000], [-2.470, 0.000, 7.067]],
  "species": ["Th", "Th", "Th", "Th", "Fe", "Co", "S", "S"],
  "fractional_positions": [[0.231, 0.000, 0.217], [0.263, 0.500, 0.783], [0.737, 0.500, 0.217], [0.769, 0.000, 0.783], [0.000, 0.500, 0.000], [0.500, 0.000, 0.000], [0.000, 0.000, 0.500], [0.500, 0.500, 0.500]],
  "space_group": "P2/m, No. 10",
  "raw_formation_energy_ev_per_atom": -0.94,
  "crystal_system": "monoclinic"
}

{
  "formula": "NbV4W2",
  "functional": "PBE",
  "state": "optimized geometry",
  "lattice": [[4.781, 0.000, 0.000], [2.296, 6.528, 0.000], [1.334, 0.149, 6.848]],
  "species": ["Nb", "Nb", "V", "V", "V", "V", "V", "V", "V", "V", "W", "W", "W", "W"],
  "fractional_positions": [[0.000, 0.000, 0.000], [0.481, 0.156, 0.815], [0.033, 0.364, 0.137], [0.208, 0.356, 0.474], [0.232, 0.957, 0.617], [0.246, 0.597, 0.849], [0.533, 0.363, 0.136], [0.638, 0.714, 0.020], [0.818, 0.129, 0.423], [0.821, 0.762, 0.649], [0.069, 0.714, 0.273], [0.437, 0.998, 0.259], [0.585, 0.567, 0.443], [0.854, 0.380, 0.785]],
  "delta_e_f_ev_per_atom": 0.133,
  "space_group": "P1, No. 1",
  "crystal_system": "triclinic",
  "relative_energy_mev_per_atom": 0
}

{
  "formula": "PaInCo2",
  "functional": "PBE",
  "state": "optimized geometry",
  "lattice": [[1.701, 0.982, 8.303], [-1.701, 0.982, 8.303], [0.000, -1.964, 8.303]],
  "species": ["Pa", "In", "Co", "Co"],
  "fractional_positions": [[0.000, 0.000, 0.000], [0.500, 0.500, 0.500], [0.396, 0.396, 0.396], [0.604, 0.604, 0.604]],
  "delta_e_f_ev_per_atom": 0.273,
  "space_group": "R-3m, No. 166",
  "crystal_system": "trigonal"
}

{
  "formula": "CeYNi10",
  "functional": "PBE",
  "state": "optimized geometry",
  "lattice": [[3.979, 0.000, 0.000], [0.000, 4.890, 0.000], [0.000, 0.000, 8.448]],
  "species": ["Ce", "Y", "Ni", "Ni", "Ni", "Ni", "Ni", "Ni", "Ni", "Ni", "Ni", "Ni"],
  "fractional_positions": [[0.000, 0.000, 0.000], [0.000, 0.500, 0.500], [0.000, 0.000, 0.329], [0.000, 0.000, 0.671], [0.000, 0.500, 0.164], [0.000, 0.500, 0.836], [0.500, 0.000, 0.500], [0.500, 0.251, 0.251], [0.500, 0.251, 0.749], [0.500, 0.500, 0.000], [0.500, 0.749, 0.251], [0.500, 0.749, 0.749]],
  "delta_e_f_ev_per_atom": -0.333,
  "space_group": "Pmmm, No. 47",
  "crystal_system": "orthorhombic"
}

{
  "formula": "NdDyCd",
  "functional": "PBE",
  "state": "optimized geometry",
  "lattice": [[5.306, 0.000, 0.000], [-2.653, 4.595, 0.000], [0.000, 0.000, 3.642]],
  "species": ["Nd", "Dy", "Cd"],
  "fractional_positions": [[0.000, 0.000, 0.000], [0.333, 0.667, 0.438], [0.667, 0.333, 0.664]],
  "delta_e_f_ev_per_atom": -0.076,
  "space_group": "P3m1, No. 156",
  "crystal_system": "trigonal",
  "relative_energy_mev_per_atom": 142
}

{
  "formula": "CrI2Br",
  "functional": "PBE",
  "state": "optimized geometry",
  "lattice": [[0.000, 3.818, 3.818], [3.818, 0.000, 3.818], [3.818, 3.818, 0.000]],
  "species": ["Cr", "I", "I", "Br"],
  "fractional_positions": [[0.000, 0.000, 0.000], [0.250, 0.250, 0.250], [0.750, 0.750, 0.750], [0.500, 0.500, 0.500]],
  "space_group": "Fm-3m, No. 225",
  "raw_formation_energy_ev_per_atom": 0.40,
  "crystal_system": "cubic",
  "relative_energy_mev_per_atom": 803
}

{
  "formula": "Ba4TcSb",
  "functional": "PBE",
  "state": "optimized geometry",
  "lattice": [[0.000, 4.988, 4.988], [4.988, 0.000, 4.988], [4.988, 4.988, 0.000]],
  "species": ["Ba", "Ba", "Ba", "Ba", "Tc", "Sb"],
  "fractional_positions": [[0.125, 0.125, 0.125], [0.125, 0.125, 0.625], [0.125, 0.625, 0.125], [0.625, 0.125, 0.125], [0.500, 0.500, 0.500], [0.750, 0.750, 0.750]],
  "space_group": "F-43m, No. 216",
  "raw_formation_energy_ev_per_atom": 0.82,
  "crystal_system": "cubic"
}

{
  "formula": "Hf3AlSb",
  "functional": "PBE",
  "state": "optimized geometry",
  "lattice": [[4.954, 0.000, 0.000], [0.000, 4.954, 0.000], [0.000, 0.000, 4.954]],
  "species": ["Hf", "Hf", "Hf", "Al", "Sb"],
  "fractional_positions": [[0.000, 0.000, 0.500], [0.000, 0.500, 0.000], [0.500, 0.000, 0.000], [0.000, 0.000, 0.000], [0.500, 0.500, 0.500]],
  "space_group": "Pm-3m, No. 221",
  "raw_formation_energy_ev_per_atom": 0.54,
  "crystal_system": "cubic",
  "relative_energy_mev_per_atom": 834
}

{
  "formula": "GdErH",
  "functional": "PBE",
  "state": "optimized geometry",
  "lattice": [[-1.668, 1.668, 6.021], [1.668, -1.668, 6.021], [1.668, 1.668, -6.021]],
  "species": ["Gd", "Er", "H"],
  "fractional_positions": [[0.000, 0.000, 0.000], [0.711, 0.711, 0.000], [0.186, 0.186, 0.000]],
  "space_group": "I4mm, No. 107",
  "crystal_system": "tetragonal",
  "relative_energy_mev_per_atom": 154
}

{
  "formula": "Pm2P3IrRh12",
  "functional": "PBE",
  "state": "optimized geometry",
  "lattice": [[4.234, 2.444, 5.076], [-4.234, 2.444, 5.076], [0.000, -4.888, 5.076]],
  "species": ["Pm", "Pm", "P", "P", "P", "Ir", "Rh", "Rh", "Rh", "Rh", "Rh", "Rh", "Rh", "Rh", "Rh", "Rh", "Rh", "Rh"],
  "fractional_positions": [[0.106, 0.106, 0.106], [0.894, 0.894, 0.894], [0.000, 0.500, 0.500], [0.500, 0.000, 0.500], [0.500, 0.500, 0.000], [0.500, 0.500, 0.500], [0.136, 0.648, 0.648], [0.169, 0.169, 0.587], [0.169, 0.587, 0.169], [0.352, 0.352, 0.864], [0.352, 0.864, 0.352], [0.413, 0.831, 0.831], [0.587, 0.169, 0.169], [0.648, 0.136, 0.648], [0.648, 0.648, 0.136], [0.831, 0.413, 0.831], [0.831, 0.831, 0.413], [0.864, 0.352, 0.352]],
  "delta_e_f_ev_per_atom": -0.106,
  "space_group": "R-3m, No. 166",
  "crystal_system": "trigonal"
}

{
  "formula": "LiTaMn2",
  "functional": "PBE",
  "state": "optimized geometry",
  "lattice": [[1.522, -2.163, 0.000], [1.522, 2.163, 0.000], [0.000, 0.000, 8.439]],
  "species": ["Li", "Ta", "Mn", "Mn"],
  "fractional_positions": [[0.000, 0.000, 0.000], [0.000, 0.000, 0.500], [0.500, 0.500, 0.256], [0.500, 0.500, 0.744]],
  "delta_e_f_ev_per_atom": 0.392,
  "space_group": "Cmmm, No. 65",
  "crystal_system": "orthorhombic"
}

{
  "formula": "Be3W5",
  "functional": "PBE",
  "state": "optimized geometry",
  "lattice": [[3.832, -4.223, 0.000], [3.832, 4.223, 0.000], [0.000, 0.000, 3.369]],
  "species": ["Be", "Be", "Be", "W", "W", "W", "W", "W"],
  "fractional_positions": [[0.000, 0.000, 0.000], [0.256, 0.744, 0.500], [0.744, 0.256, 0.500], [0.000, 0.500, 0.000], [0.225, 0.225, 0.500], [0.500, 0.000, 0.000], [0.500, 0.500, 0.000], [0.775, 0.775, 0.500]],
  "delta_e_f_ev_per_atom": 0.191,
  "space_group": "Cmmm, No. 65",
  "crystal_system": "orthorhombic",
  "relative_energy_mev_per_atom": 142
}